No. 1
The following is a DFT calculation (PBE) of a geometry-optimized MgRePCl2 structure.

Lattice parameters (Å, degrees): 4.9222 4.9222 4.6293 90.00 90.00 90.00
Atoms (fractional coordinates):
Mg  0.0000  0.0000  0.0000
Re  0.5000  0.5000  0.5000
P  0.5000  0.5000  0.0000
Cl  0.0000  0.5000  0.5000
Cl  0.5000  0.0000  0.5000

uncorrected formation energy = 201 meV per atom
offset from the most stable computed form = 0.000 eV per formula unit
theoretical density = 4.62 Mg/m³
final energy = -0.163 Ha/atom



No. 2
The following is a DFT calculation (PBE) of a geometry-optimized Tb12Sm2Pu structure.

Lattice parameters (Å, degrees): 6.6412 6.6412 24.4672 92.31 92.31 115.46
Atoms (fractional coordinates):
Tb  0.0485  0.5478  0.1995
Tb  0.0804  0.5821  0.3296
Tb  0.1372  0.6399  0.5554
Tb  0.1446  0.1446  0.5724
Tb  0.2190  0.2190  0.8659
Tb  0.2351  0.7351  0.9280
Tb  0.2649  0.7649  0.0720
Tb  0.2807  0.2807  0.1336
Tb  0.3578  0.3578  0.4257
Tb  0.3601  0.8628  0.4446
Tb  0.4179  0.9196  0.6704
Tb  0.4522  0.9515  0.8005
Tb  0.5478  0.0485  0.1995
Tb  0.5821  0.0804  0.3296
Tb  0.6399  0.1372  0.5554
Tb  0.6422  0.6422  0.5743
Tb  0.7193  0.7193  0.8664
Tb  0.7351  0.2351  0.9280
Tb  0.7649  0.2649  0.0720
Tb  0.7810  0.7810  0.1341
Tb  0.8554  0.8554  0.4276
Tb  0.8628  0.3601  0.4446
Tb  0.9196  0.4179  0.6704
Tb  0.9515  0.4522  0.8005
Sm  0.0675  0.0675  0.2714
Sm  0.4345  0.4345  0.7290
Sm  0.5655  0.5655  0.2710
Sm  0.9325  0.9325  0.7286
Pu  0.2497  0.2497  0.9998
Pu  0.7503  0.7503  0.0002

theoretical density = 8.38 Mg/m³
DFT formation energy = 2.00 eV/f.u.
final energy = -0.189 Ha/atom



No. 3
The following is a DFT calculation (PBE) of a geometry-optimized TlHPd4 structure.

Lattice parameters (Å, degrees): 6.5131 6.5131 6.5131 109.18 109.18 110.05
Atoms (fractional coordinates):
Tl  0.0000  0.0000  0.0000
Tl  0.7500  0.2500  0.5000
H  0.3263  0.8263  0.5000
H  0.5763  0.5763  0.0000
Pd  0.0864  0.4142  0.3278
Pd  0.0864  0.7586  0.6722
Pd  0.1642  0.3364  0.8278
Pd  0.4543  0.1531  0.6989
Pd  0.4543  0.7554  0.3011
Pd  0.5054  0.7043  0.8011
Pd  0.5086  0.3364  0.1722
Pd  0.9031  0.7043  0.1989

theoretical density = 9.85 Mg/m³
final energy = -0.154 Ha/atom



No. 4
The following is a DFT calculation (PBE) of a geometry-optimized Na2Cd3Cl8 structure.

Lattice parameters (Å, degrees): 7.8361 7.8361 6.8069 100.33 100.33 59.88
Atoms (fractional coordinates):
Na  0.2191  0.2191  0.1032
Na  0.7809  0.7809  0.8968
Cd  0.2443  0.7557  0.5000
Cd  0.5000  0.5000  0.0000
Cd  0.7557  0.2443  0.5000
Cl  0.1146  0.1146  0.4082
Cl  0.1526  0.6157  0.1281
Cl  0.3843  0.8474  0.8719
Cl  0.3925  0.3925  0.6230
Cl  0.6075  0.6075  0.3770
Cl  0.6157  0.1526  0.1281
Cl  0.8474  0.3843  0.8719
Cl  0.8854  0.8854  0.5918

uncorrected formation energy = -1307 meV per atom
theoretical density = 3.13 Mg/m³
final energy = -0.105 Ha/atom



No. 5
The following is a DFT calculation (PBE) of a geometry-optimized AgSb2TeAu structure.

Lattice parameters (Å, degrees): 5.3855 5.3855 5.5457 90.00 90.00 90.00
Atoms (fractional coordinates):
Ag  0.0000  0.0000  0.0000
Sb  0.0000  0.5000  0.5000
Sb  0.5000  0.0000  0.5000
Te  0.5000  0.5000  0.0000
Au  0.5000  0.5000  0.5000

uncorrected formation energy = 675 meV per atom
offset from the most stable computed form = 0.000 eV per formula unit
theoretical density = 6.98 Mg/m³
final energy = -0.104 Ha/atom



No. 6
The following is a DFT calculation (PBE) of a geometry-optimized AgSbI2Cl structure.

Lattice parameters (Å, degrees): 6.6942 6.6942 4.8837 90.00 90.00 90.00
Atoms (fractional coordinates):
Ag  0.0000  0.0000  0.0000
Sb  0.5000  0.5000  0.0000
I  0.0000  0.5000  0.5000
I  0.5000  0.0000  0.5000
Cl  0.5000  0.5000  0.5000

uncorrected formation energy = 638 meV per atom
offset from the most stable computed form = 1.458 eV per formula unit
theoretical density = 3.94 Mg/m³
final energy = -0.064 Ha/atom